Record 1
A relaxed structure of LiGdPuAu, computed with PBE-GGA.

As for the electronic total energy: -137.1 eV per cell. The value obtained for the size of the total moment is 5.5 μB per cell.

The structure belongs to space group F-43m (No. 216); the cell edges are 7.279, 7.279 and 7.279 Å and the angles 90.00°, 90.00° and 90.00°. Symmetry generates all atoms from Li at (0.000, 0.000, 0.000), Gd at (0.250, 0.250, 0.250), Pu at (0.250, 0.250, 0.750) and Au at (0.000, 0.000, 0.500).

Record 2
A relaxed structure of NaOs2PbO8, computed with PBE-GGA.

As for the electronic total energy: -79.8 eV per cell. The value obtained for the size of the total moment is 2.9 μB per cell. As for the uncorrected formation energy: -1055 meV/atom.

The structure belongs to space group P-3m1 (No. 164); the cell edges are 6.0420, 6.0420 and 7.1520 Å and the angles 90.00°, 90.00° and 120.00°. Symmetry generates all atoms from Na at (0.0000, 0.0000, 0.0000), Os at (0.3333, 0.6667, 0.2936), Pb at (0.0000, 0.0000, 0.5000), O at (0.1677, 0.3355, 0.2311) and O at (0.3333, 0.6667, 0.5422).

| no. | D(E_F) (states/eV/cell) |
| --- | --- |
| 1 | 39.23 |
| 2 | 7.88 |